[1]
This record from Alexandria describes a PBEsol-optimized structure of BaY2Ru. The functional is meta-GGA SCAN.

Cell lengths 3.852, 3.852, 8.348 Å; angles 90.00, 90.00, 90.00 degrees
Fractional coordinates of all 4 atoms:
Ba 0.000 0.000 0.000
Y 0.000 0.000 0.394
Y 0.500 0.500 0.639
Ru 0.500 0.500 0.319

Calculated values
The space-group type is P4mm. The value obtained for the density of states at the Fermi level is 4.43 states/eV/f.u. As for the polymorph energy (0 for the lowest one): 0.0 meV/atom.

[2]
This record from Alexandria describes a PBEsol-optimized structure of BaZn2Ru. The functional is meta-GGA SCAN.

Cell lengths 4.296, 4.296, 8.449 Å; angles 90.00, 90.00, 90.00 degrees
Fractional coordinates of all 8 atoms:
Ba 0.000 0.000 0.000
Ba 0.500 0.500 0.500
Zn 0.000 0.500 0.250
Zn 0.000 0.500 0.750
Zn 0.500 0.000 0.250
Zn 0.500 0.000 0.750
Ru 0.000 0.000 0.500
Ru 0.500 0.500 0.000

Calculated values
The space-group type is I4/mmm. The value obtained for the density of states at the Fermi level is 2.23 states/eV/f.u.

[3]
This record from Alexandria describes a PBEsol-optimized structure of BaZn2Ru. The functional is meta-GGA SCAN.

Cell lengths 3.256, 3.256, 7.355 Å; angles 90.00, 90.00, 90.00 degrees
Fractional coordinates of all 4 atoms:
Ba 0.000 0.000 0.000
Zn 0.500 0.500 0.333
Zn 0.500 0.500 0.667
Ru 0.000 0.000 0.500

Calculated values
The space-group type is P4/mmm. The value obtained for the density of states at the Fermi level is 3.35 states/eV/f.u.

[4]
This record from Alexandria describes a PBEsol-optimized structure of BaZn2Ru. The functional is meta-GGA SCAN.

Cell lengths 7.492, 4.309, 6.155 Å; angles 90.00, 113.65, 90.00 degrees
Fractional coordinates of all 8 atoms:
Ba 0.000 0.000 0.000
Ba 0.500 0.500 0.000
Zn 0.193 0.000 0.577
Zn 0.307 0.500 0.423
Zn 0.693 0.500 0.577
Zn 0.807 0.000 0.423
Ru 0.000 0.500 0.500
Ru 0.500 0.000 0.500

Calculated values
The space-group type is C2/m. The value obtained for the density of states at the Fermi level is 2.53 states/eV/f.u.

[5]
This record from Alexandria describes a PBEsol-optimized structure of Ba3ZrRu. The functional is meta-GGA SCAN.

Cell lengths 5.742, 5.742, 5.742 Å; angles 90.00, 90.00, 90.00 degrees
Fractional coordinates of all 5 atoms:
Ba 0.000 0.000 0.500
Ba 0.000 0.500 0.000
Ba 0.500 0.000 0.000
Zr 0.500 0.500 0.500
Ru 0.000 0.000 0.000

Calculated values
The space-group type is Pm-3m. The value obtained for the density of states at the Fermi level is 7.04 states/eV/f.u.

[6]
This record from Alexandria describes a PBEsol-optimized structure of BaSbS3. The functional is meta-GGA SCAN.

Cell lengths 5.040, 5.040, 5.040 Å; angles 90.00, 90.00, 90.00 degrees
Fractional coordinates of all 5 atoms:
Ba 0.000 0.000 0.000
Sb 0.500 0.500 0.500
S 0.000 0.500 0.500
S 0.500 0.000 0.500
S 0.500 0.500 0.000

Calculated values
The space-group type is Pm-3m. The value obtained for the density of states at the Fermi level is 1.32 states/eV/f.u. The formation energy from raw total energies comes out at -98 kJ per mole of atoms.

[7]
This record from Alexandria describes a PBEsol-optimized structure of BaSn2SbS. The functional is meta-GGA SCAN.

Cell lengths 5.373, 5.373, 5.290 Å; angles 90.00, 90.00, 90.00 degrees
Fractional coordinates of all 5 atoms:
Ba 0.000 0.000 0.000
Sn 0.000 0.500 0.500
Sn 0.500 0.000 0.500
Sb 0.500 0.500 0.000
S 0.500 0.500 0.500

Calculated values
The space-group type is P4/mmm. The value obtained for the density of states at the Fermi level is 3.31 states/eV/f.u. The formation energy from raw total energies comes out at -15 kJ per mole of atoms.

[8]
This record from Alexandria describes a PBEsol-optimized structure of Ba2SiS4. The functional is meta-GGA SCAN.

Cell lengths 8.865, 6.700, 12.064 Å; angles 90.00, 90.00, 90.00 degrees
Fractional coordinates of all 28 atoms:
Ba 0.018 0.250 0.170
Ba 0.130 0.750 0.417
Ba 0.370 0.250 0.917
Ba 0.482 0.750 0.670
Ba 0.518 0.250 0.330
Ba 0.630 0.750 0.083
Ba 0.870 0.250 0.583
Ba 0.982 0.750 0.830
Si 0.231 0.750 0.077
Si 0.269 0.250 0.577
Si 0.731 0.750 0.423
Si 0.769 0.250 0.923
S 0.006 0.250 0.904
S 0.175 0.509 0.649
S 0.175 0.991 0.649
S 0.187 0.250 0.411
S 0.313 0.750 0.911
S 0.325 0.009 0.149
S 0.325 0.491 0.149
S 0.494 0.750 0.404
S 0.506 0.250 0.596
S 0.675 0.509 0.851
S 0.675 0.991 0.851
S 0.687 0.250 0.089
S 0.813 0.750 0.589
S 0.825 0.009 0.351
S 0.825 0.491 0.351
S 0.994 0.750 0.096

Calculated values
The space-group type is Pnma. The value obtained for the density of states at the Fermi level is 0.00 states/eV/f.u. The formation energy from raw total energies comes out at -179 kJ per mole of atoms.

[9]
This record from Alexandria describes a PBEsol-optimized structure of BaSm2S4. The functional is meta-GGA SCAN.

Cell lengths 12.047, 4.104, 14.616 Å; angles 90.00, 90.00, 90.00 degrees
Fractional coordinates of all 28 atoms:
Ba 0.249 0.250 0.159
Ba 0.251 0.750 0.659
Ba 0.749 0.250 0.341
Ba 0.751 0.750 0.841
Sm 0.073 0.250 0.895
Sm 0.083 0.250 0.395
Sm 0.417 0.750 0.895
Sm 0.427 0.750 0.395
Sm 0.573 0.250 0.605
Sm 0.583 0.250 0.105
Sm 0.917 0.750 0.605
Sm 0.927 0.750 0.105
S 0.013 0.750 0.781
S 0.073 0.250 0.582
S 0.134 0.750 0.018
S 0.214 0.750 0.325
S 0.286 0.250 0.825
S 0.366 0.250 0.518
S 0.427 0.750 0.082
S 0.487 0.250 0.281
S 0.513 0.750 0.719
S 0.573 0.250 0.918
S 0.634 0.750 0.482
S 0.714 0.750 0.175
S 0.786 0.250 0.675
S 0.866 0.250 0.982
S 0.927 0.750 0.418
S 0.987 0.250 0.219

Calculated values
The space-group type is Pnma. The value obtained for the density of states at the Fermi level is 0.00 states/eV/f.u. The formation energy from raw total energies comes out at -234 kJ per mole of atoms.

[10]
This record from Alexandria describes a PBEsol-optimized structure of BaSn2S3. The functional is meta-GGA SCAN.

Cell lengths 6.090, 13.323, 11.760 Å; angles 90.00, 101.10, 90.00 degrees
Fractional coordinates of all 36 atoms:
Ba 0.128 0.250 0.475
Ba 0.202 0.079 0.873
Ba 0.202 0.421 0.873
Ba 0.798 0.579 0.127
Ba 0.798 0.921 0.127
Ba 0.872 0.750 0.525
Sn 0.161 0.750 0.897
Sn 0.217 0.555 0.448
Sn 0.217 0.945 0.448
Sn 0.394 0.750 0.210
Sn 0.460 0.112 0.227
Sn 0.460 0.388 0.227
Sn 0.540 0.612 0.773
Sn 0.540 0.888 0.773
Sn 0.606 0.250 0.790
Sn 0.783 0.055 0.552
Sn 0.783 0.445 0.552
Sn 0.839 0.250 0.103
S 0.045 0.750 0.287
S 0.083 0.081 0.289
S 0.083 0.419 0.289
S 0.248 0.250 0.070
S 0.264 0.605 0.052
S 0.264 0.895 0.052
S 0.408 0.071 0.617
S 0.408 0.429 0.617
S 0.417 0.750 0.617
S 0.583 0.250 0.383
S 0.592 0.571 0.383
S 0.592 0.929 0.383
S 0.736 0.105 0.948
S 0.736 0.395 0.948
S 0.752 0.750 0.930
S 0.917 0.581 0.711
S 0.917 0.919 0.711
S 0.955 0.250 0.713

Calculated values
The space-group type is P2_1/m. The value obtained for the density of states at the Fermi level is 0.00 states/eV/f.u. The formation energy from raw total energies comes out at -107 kJ per mole of atoms.

[11]
This record from Alexandria describes a PBEsol-optimized structure of BaSnS3. The functional is meta-GGA SCAN.

Cell lengths 8.413, 3.929, 14.556 Å; angles 90.00, 90.00, 90.00 degrees
Fractional coordinates of all 20 atoms:
Ba 0.081 0.250 0.174
Ba 0.419 0.750 0.674
Ba 0.581 0.250 0.326
Ba 0.919 0.750 0.826
Sn 0.170 0.750 0.442
Sn 0.330 0.250 0.942
Sn 0.670 0.750 0.058
Sn 0.830 0.250 0.558
S 0.029 0.750 0.602
S 0.156 0.750 0.002
S 0.206 0.250 0.789
S 0.294 0.750 0.289
S 0.344 0.250 0.502
S 0.471 0.250 0.102
S 0.529 0.750 0.898
S 0.656 0.750 0.498
S 0.706 0.250 0.711
S 0.794 0.750 0.211
S 0.844 0.250 0.998
S 0.971 0.250 0.398

Calculated values
The space-group type is Pnma. The formation energy from raw total energies comes out at -121 kJ per mole of atoms.

[12]
This record from Alexandria describes a PBEsol-optimized structure of BaSn2S5. The functional is meta-GGA SCAN.

Cell lengths 6.655, 10.627, 11.242 Å; angles 90.00, 90.00, 90.00 degrees
Fractional coordinates of all 32 atoms:
Ba 0.250 0.250 0.197
Ba 0.250 0.250 0.697
Ba 0.750 0.750 0.303
Ba 0.750 0.750 0.803
Sn 0.246 0.560 0.471
Sn 0.246 0.940 0.971
Sn 0.254 0.560 0.971
Sn 0.254 0.940 0.471
Sn 0.746 0.060 0.529
Sn 0.746 0.440 0.029
Sn 0.754 0.060 0.029
Sn 0.754 0.440 0.529
S 0.050 0.529 0.653
S 0.050 0.971 0.153
S 0.072 0.138 0.438
S 0.072 0.362 0.938
S 0.250 0.750 0.340
S 0.250 0.750 0.840
S 0.428 0.138 0.938
S 0.428 0.362 0.438
S 0.450 0.529 0.153
S 0.450 0.971 0.653
S 0.550 0.029 0.347
S 0.550 0.471 0.847
S 0.572 0.638 0.562
S 0.572 0.862 0.062
S 0.750 0.250 0.160
S 0.750 0.250 0.660
S 0.928 0.638 0.062
S 0.928 0.862 0.562
S 0.950 0.029 0.847
S 0.950 0.471 0.347

Calculated values
The space-group type is Pccn. The value obtained for the density of states at the Fermi level is 0.00 states/eV/f.u. The formation energy from raw total energies comes out at -92 kJ per mole of atoms.

[13]
This record from Alexandria describes a PBEsol-optimized structure of Ba2SnS. The functional is meta-GGA SCAN.

Cell lengths 8.095, 8.095, 8.095 Å; angles 90.00, 90.00, 90.00 degrees
Fractional coordinates of all 16 atoms:
Ba 0.250 0.250 0.250
Ba 0.250 0.250 0.750
Ba 0.250 0.750 0.250
Ba 0.250 0.750 0.750
Ba 0.750 0.250 0.250
Ba 0.750 0.250 0.750
Ba 0.750 0.750 0.250
Ba 0.750 0.750 0.750
Sn 0.000 0.000 0.000
Sn 0.000 0.500 0.500
Sn 0.500 0.000 0.500
Sn 0.500 0.500 0.000
S 0.000 0.000 0.500
S 0.000 0.500 0.000
S 0.500 0.000 0.000
S 0.500 0.500 0.500

Calculated values
The space-group type is Fm-3m. The value obtained for the density of states at the Fermi level is 2.41 states/eV/f.u. The formation energy from raw total energies comes out at -94 kJ per mole of atoms.

[14]
This record from Alexandria describes a PBEsol-optimized structure of Ba3SnS4. The functional is meta-GGA SCAN.

Cell lengths 6.233, 6.233, 6.233 Å; angles 90.00, 90.00, 90.00 degrees
Fractional coordinates of all 8 atoms:
Ba 0.000 0.000 0.500
Ba 0.000 0.500 0.000
Ba 0.500 0.000 0.000
Sn 0.500 0.500 0.500
S 0.000 0.000 0.000
S 0.000 0.500 0.500
S 0.500 0.000 0.500
S 0.500 0.500 0.000

Calculated values
The space-group type is Pm-3m. The formation energy from raw total energies comes out at -176 kJ per mole of atoms.

[15]
This record from Alexandria describes a PBEsol-optimized structure of BaTiTc2S. The functional is meta-GGA SCAN.

Cell lengths 4.907, 4.907, 4.972 Å; angles 90.00, 90.00, 90.00 degrees
Fractional coordinates of all 5 atoms:
Ba 0.000 0.000 0.000
Ti 0.000 0.000 0.500
Tc 0.000 0.500 0.000
Tc 0.500 0.000 0.000
S 0.500 0.500 0.500

Calculated values
The space-group type is P4/mmm. The value obtained for the density of states at the Fermi level is 4.72 states/eV/f.u. The formation energy from raw total energies comes out at 262 kJ per mole of atoms.

[16]
This record from Alexandria describes a PBEsol-optimized structure of BaTh2S5. The functional is meta-GGA SCAN.

Cell lengths 8.566, 7.578, 11.965 Å; angles 90.00, 90.24, 90.00 degrees
Fractional coordinates of all 32 atoms:
Ba 0.009 0.051 0.332
Ba 0.009 0.449 0.832
Ba 0.991 0.551 0.168
Ba 0.991 0.949 0.668
Th 0.253 0.571 0.490
Th 0.253 0.929 0.990
Th 0.499 0.523 0.179
Th 0.499 0.977 0.679
Th 0.501 0.023 0.321
Th 0.501 0.477 0.821
Th 0.747 0.071 0.010
Th 0.747 0.429 0.510
S 0.039 0.176 0.077
S 0.039 0.324 0.577
S 0.273 0.692 0.717
S 0.273 0.808 0.217
S 0.285 0.166 0.812
S 0.285 0.334 0.312
S 0.288 0.547 0.998
S 0.288 0.953 0.498
S 0.458 0.162 0.100
S 0.458 0.338 0.600
S 0.542 0.662 0.400
S 0.542 0.838 0.900
S 0.712 0.047 0.502
S 0.712 0.453 0.002
S 0.715 0.666 0.688
S 0.715 0.834 0.188
S 0.727 0.192 0.783
S 0.727 0.308 0.283
S 0.961 0.676 0.423
S 0.961 0.824 0.923

Calculated values
The space-group type is P2_1/c. The value obtained for the density of states at the Fermi level is 0.00 states/eV/f.u. The formation energy from raw total energies comes out at -224 kJ per mole of atoms.

[17]
This record from Alexandria describes a PBEsol-optimized structure of BaTiS3. The functional is meta-GGA SCAN.

Cell lengths 4.766, 4.766, 4.766 Å; angles 90.00, 90.00, 90.00 degrees
Fractional coordinates of all 5 atoms:
Ba 0.000 0.000 0.000
Ti 0.500 0.500 0.500
S 0.000 0.500 0.500
S 0.500 0.000 0.500
S 0.500 0.500 0.000

Calculated values
The space-group type is Pm-3m. The value obtained for the density of states at the Fermi level is 0.95 states/eV/f.u. The formation energy from raw total energies comes out at -179 kJ per mole of atoms.

[18]
This record from Alexandria describes a PBEsol-optimized structure of Ba3YS. The functional is meta-GGA SCAN.

Cell lengths 6.032, 6.032, 6.032 Å; angles 90.00, 90.00, 90.00 degrees
Fractional coordinates of all 5 atoms:
Ba 0.000 0.000 0.500
Ba 0.000 0.500 0.000
Ba 0.500 0.000 0.000
Y 0.000 0.000 0.000
S 0.500 0.500 0.500

Calculated values
The space-group type is Pm-3m. The value obtained for the density of states at the Fermi level is 3.86 states/eV/f.u. The formation energy from raw total energies comes out at 42 kJ per mole of atoms.

[19]
This record from Alexandria describes a PBEsol-optimized structure of BaY3S. The functional is meta-GGA SCAN.

Cell lengths 5.370, 5.370, 5.370 Å; angles 90.00, 90.00, 90.00 degrees
Fractional coordinates of all 5 atoms:
Ba 0.000 0.000 0.000
Y 0.000 0.500 0.500
Y 0.500 0.000 0.500
Y 0.500 0.500 0.000
S 0.500 0.500 0.500

Calculated values
The space-group type is Pm-3m. The value obtained for the density of states at the Fermi level is 5.24 states/eV/f.u. The formation energy from raw total energies comes out at -60 kJ per mole of atoms.

[20]
This record from Alexandria describes a PBEsol-optimized structure of BaZnS2. The functional is meta-GGA SCAN.

Cell lengths 7.082, 7.082, 7.680 Å; angles 90.00, 90.00, 90.00 degrees
Fractional coordinates of all 16 atoms:
Ba 0.000 0.000 0.000
Ba 0.000 0.500 0.250
Ba 0.500 0.000 0.750
Ba 0.500 0.500 0.500
Zn 0.000 0.000 0.500
Zn 0.000 0.500 0.750
Zn 0.500 0.000 0.250
Zn 0.500 0.500 0.000
S 0.165 0.250 0.625
S 0.250 0.665 0.875
S 0.250 0.835 0.375
S 0.335 0.250 0.125
S 0.665 0.750 0.125
S 0.750 0.165 0.375
S 0.750 0.335 0.875
S 0.835 0.750 0.625

Calculated values
The space-group type is I-42d. The value obtained for the density of states at the Fermi level is 0.00 states/eV/f.u. The formation energy from raw total energies comes out at -151 kJ per mole of atoms.

Number 1: uncorrected energy -32.441 eV per atom. Number 2: uncorrected energy -24.830 eV per atom. Number 3: uncorrected energy -25.206 eV per atom. Number 4: uncorrected energy -25.384 eV per atom. Number 5: uncorrected energy -36.006 eV per atom. Number 6: uncorrected energy -22.154 eV per atom. Number 7: uncorrected energy -31.808 eV per atom. Number 8: uncorrected energy -20.089 eV per atom. Number 9: uncorrected energy -26.271 eV per atom. Number 10: uncorrected energy -24.489 eV per atom. Number 11: uncorrected energy -22.129 eV per atom. Number 12: uncorrected energy -20.892 eV per atom. Number 13: uncorrected energy -32.139 eV per atom. Number 14: uncorrected energy -25.956 eV per atom. Number 15: uncorrected energy -24.346 eV per atom. Number 16: uncorrected energy -37.261 eV per atom. Number 17: uncorrected energy -18.743 eV per atom. Number 18: uncorrected energy -30.784 eV per atom. Number 19: uncorrected energy -27.163 eV per atom. Number 20: uncorrected energy -19.641 eV per atom.